Entry 1:
The following is a DFT calculation (PBE) of a relaxed CeCo4Pd crystal.

abc: 4.9497 4.9497 4.9497
angles: 60.00 60.00 60.00
Fractional coordinates of all 6 atoms:
1 Ce 0.0000 0.0000 0.0000
2 Co 0.1293 0.6236 0.6236
3 Co 0.6236 0.1293 0.6236
4 Co 0.6236 0.6236 0.1293
5 Co 0.6236 0.6236 0.6236
6 Pd 0.2500 0.2500 0.2500

## Properties
The calculation puts the formation energy at -0.12 eV per atom. As for the symmetry: F-43m (216).

Entry 2:
The following is a DFT calculation (PBE) of a relaxed CePmCoPd crystal.

abc: 4.9552 4.9552 4.9552
angles: 60.00 60.00 60.00
Fractional coordinates of all 4 atoms:
1 Ce 0.0000 0.0000 0.0000
2 Pm 0.5000 0.5000 0.5000
3 Co 0.2500 0.2500 0.2500
4 Pd 0.7500 0.7500 0.7500

## Properties
The calculation puts the formation energy at -0.31 eV per atom. As for the symmetry: F-43m (216).

Entry 3:
The following is a DFT calculation (PBE) of a relaxed CePuCoPd crystal.

abc: 4.8854 4.8854 4.8854
angles: 60.00 60.00 60.00
Fractional coordinates of all 4 atoms:
1 Ce 0.0000 0.0000 0.0000
2 Pu 0.5000 0.5000 0.5000
3 Co 0.7500 0.7500 0.7500
4 Pd 0.2500 0.2500 0.2500

## Properties
The calculation puts the formation energy at -0.22 eV per atom. As for the symmetry: F-43m (216).

Entry 4:
The following is a DFT calculation (PBE) of a relaxed CeScCoPd crystal.

abc: 4.7644 4.7644 4.7644
angles: 60.00 60.00 60.00
Fractional coordinates of all 4 atoms:
1 Ce 0.0000 0.0000 0.0000
2 Sc 0.5000 0.5000 0.5000
3 Co 0.7500 0.7500 0.7500
4 Pd 0.2500 0.2500 0.2500

## Properties
The calculation puts the formation energy at -0.39 eV per atom. As for the symmetry: F-43m (216).

Entry 5:
The following is a DFT calculation (PBE) of a relaxed CeSmCoPd crystal.

abc: 4.9431 4.9431 4.9431
angles: 60.00 60.00 60.00
Fractional coordinates of all 4 atoms:
1 Ce 0.0000 0.0000 0.0000
2 Sm 0.5000 0.5000 0.5000
3 Co 0.7500 0.7500 0.7500
4 Pd 0.2500 0.2500 0.2500

## Properties
The calculation puts the formation energy at -0.33 eV per atom. As for the symmetry: F-43m (216).

Entry 6:
The following is a DFT calculation (PBE) of a relaxed CeYCoPd crystal.

abc: 4.9047 4.9047 4.9047
angles: 60.00 60.00 60.00
Fractional coordinates of all 4 atoms:
1 Ce 0.0000 0.0000 0.0000
2 Y 0.5000 0.5000 0.5000
3 Co 0.2500 0.2500 0.2500
4 Pd 0.7500 0.7500 0.7500

## Properties
The calculation puts the formation energy at -0.37 eV per atom. As for the symmetry: F-43m (216).

Entry 7:
The following is a DFT calculation (PBE) of a relaxed CeZnCoPd crystal.

abc: 4.6122 4.6122 4.6122
angles: 60.00 60.00 60.00
Fractional coordinates of all 4 atoms:
1 Ce 0.0000 0.0000 0.0000
2 Zn 0.5000 0.5000 0.5000
3 Co 0.2500 0.2500 0.2500
4 Pd 0.7500 0.7500 0.7500

## Properties
The calculation puts the formation energy at -0.28 eV per atom. As for the symmetry: F-43m (216).

Entry 8:
The following is a DFT calculation (PBE) of a relaxed CeZrCoPd crystal.

abc: 4.7787 4.7787 4.7787
angles: 60.00 60.00 60.00
Fractional coordinates of all 4 atoms:
1 Ce 0.0000 0.0000 0.0000
2 Zr 0.5000 0.5000 0.5000
3 Co 0.2500 0.2500 0.2500
4 Pd 0.7500 0.7500 0.7500

## Properties
The calculation puts the formation energy at -0.26 eV per atom. As for the symmetry: F-43m (216).

Entry 9:
The following is a DFT calculation (PBE) of a relaxed CePmCo4 crystal.

abc: 5.0476 5.0476 5.0476
angles: 60.00 60.00 60.00
Fractional coordinates of all 6 atoms:
1 Ce 0.0000 0.0000 0.0000
2 Pm 0.2500 0.2500 0.2500
3 Co 0.1243 0.6252 0.6252
4 Co 0.6252 0.1243 0.6252
5 Co 0.6252 0.6252 0.1243
6 Co 0.6252 0.6252 0.6252

## Properties
The calculation puts the formation energy at -0.13 eV per atom. As for the symmetry: F-43m (216).

Entry 10:
The following is a DFT calculation (PBE) of a relaxed CePm2Co crystal.

abc: 6.8472 9.8212 6.4303
angles: 90.00 90.00 90.00
Fractional coordinates of all 16 atoms:
1 Ce 0.0597 0.2500 0.1575
2 Ce 0.4403 0.7500 0.6575
3 Ce 0.5597 0.2500 0.3425
4 Ce 0.9403 0.7500 0.8425
5 Pm 0.1649 0.0683 0.6739
6 Pm 0.1649 0.4317 0.6739
7 Pm 0.3351 0.5683 0.1739
8 Pm 0.3351 0.9317 0.1739
9 Pm 0.6649 0.0683 0.8261
10 Pm 0.6649 0.4317 0.8261
11 Pm 0.8351 0.5683 0.3261
12 Pm 0.8351 0.9317 0.3261
13 Co 0.1435 0.7500 0.4969
14 Co 0.3565 0.2500 0.9969
15 Co 0.6435 0.7500 0.0031
16 Co 0.8565 0.2500 0.5031

## Properties
The energy above the most stable polymorph in this dataset comes out at 0 meV/atom. The calculation puts the formation energy at -0.13 eV per atom. As for the symmetry: Pnma (62).

Entry 11:
The following is a DFT calculation (PBE) of a relaxed Ce3Pm4Co2 crystal.

abc: 8.6552 8.6552 8.8216
angles: 116.36 116.36 24.28
Fractional coordinates of all 9 atoms:
1 Ce 0.0000 0.0000 0.0000
2 Ce 0.0749 0.0749 0.6893
3 Ce 0.9251 0.9251 0.3107
4 Pm 0.2283 0.2283 0.1439
5 Pm 0.3724 0.3724 0.6153
6 Pm 0.6276 0.6276 0.3847
7 Pm 0.7717 0.7717 0.8561
8 Co 0.4223 0.4223 0.1050
9 Co 0.5777 0.5777 0.8950

## Properties
The calculation puts the formation energy at -0.09 eV per atom. As for the symmetry: C2/m (12).

Entry 12:
The following is a DFT calculation (PBE) of a relaxed CePm2Co crystal.

abc: 9.6042 9.6042 9.6042
angles: 22.76 22.76 22.76
Fractional coordinates of all 4 atoms:
1 Ce 0.0000 0.0000 0.0000
2 Pm 0.5559 0.5559 0.5559
3 Pm 0.7747 0.7747 0.7747
4 Co 0.1650 0.1650 0.1650

## Properties
The energy above the most stable polymorph in this dataset comes out at 256 meV/atom. The calculation puts the formation energy at 0.13 eV per atom. As for the symmetry: R3m (160).

Entry 13:
The following is a DFT calculation (PBE) of a relaxed CePm2Co crystal.

abc: 10.5860 10.5860 10.5860
angles: 19.69 19.69 19.69
Fractional coordinates of all 4 atoms:
1 Ce 0.0000 0.0000 0.0000
2 Pm 0.1118 0.1118 0.1118
3 Pm 0.8882 0.8882 0.8882
4 Co 0.5000 0.5000 0.5000

## Properties
The energy above the most stable polymorph in this dataset comes out at 379 meV/atom. The calculation puts the formation energy at 0.25 eV per atom. As for the symmetry: R-3m (166).

Entry 14:
The following is a DFT calculation (PBE) of a relaxed CePmCo crystal.

abc: 5.3661 5.3661 6.6528
angles: 113.67 113.67 59.82
Fractional coordinates of all 6 atoms:
1 Ce 0.1151 0.1151 0.3440
2 Ce 0.8849 0.8849 0.6560
3 Pm 0.3880 0.3880 0.1639
4 Pm 0.6120 0.6120 0.8361
5 Co 0.2381 0.2381 0.7147
6 Co 0.7619 0.7619 0.2853

## Properties
The energy above the most stable polymorph in this dataset comes out at 62 meV/atom. The calculation puts the formation energy at -0.09 eV per atom. As for the symmetry: C2/m (12).

Entry 15:
The following is a DFT calculation (PBE) of a relaxed Ce2PmCo crystal.

abc: 9.1719 9.1719 9.1719
angles: 23.53 23.53 23.53
Fractional coordinates of all 4 atoms:
1 Ce 0.0000 0.0000 0.0000
2 Ce 0.2156 0.2156 0.2156
3 Pm 0.7751 0.7751 0.7751
4 Co 0.6082 0.6082 0.6082

## Properties
The energy above the most stable polymorph in this dataset comes out at 98 meV/atom. The calculation puts the formation energy at -0.02 eV per atom. As for the symmetry: R3m (160).

Entry 16:
The following is a DFT calculation (PBE) of a relaxed Ce3PmCo2 crystal.

abc: 8.2510 8.2510 9.5794
angles: 115.72 115.72 27.45
Fractional coordinates of all 12 atoms:
1 Ce 0.0157 0.0157 0.3677
2 Ce 0.3365 0.3365 0.1186
3 Ce 0.3413 0.3413 0.4949
4 Ce 0.6587 0.6587 0.5051
5 Ce 0.6635 0.6635 0.8814
6 Ce 0.9843 0.9843 0.6323
7 Pm 0.1250 0.1250 0.1389
8 Pm 0.8750 0.8750 0.8611
9 Co 0.1846 0.1846 0.7051
10 Co 0.4830 0.4830 0.1308
11 Co 0.5170 0.5170 0.8692
12 Co 0.8154 0.8154 0.2949

## Properties
The energy above the most stable polymorph in this dataset comes out at 0 meV/atom. The calculation puts the formation energy at -0.11 eV per atom. As for the symmetry: C2/m (12).

Entry 17:
The following is a DFT calculation (PBE) of a relaxed Ce2PmCo9 crystal.

abc: 8.7396 8.7396 8.7396
angles: 32.82 32.82 32.82
Fractional coordinates of all 12 atoms:
1 Ce 0.1400 0.1400 0.1400
2 Ce 0.8600 0.8600 0.8600
3 Pm 0.0000 0.0000 0.0000
4 Co 0.0828 0.5794 0.5794
5 Co 0.3326 0.3326 0.3326
6 Co 0.4206 0.4206 0.9172
7 Co 0.4206 0.9172 0.4206
8 Co 0.5000 0.5000 0.5000
9 Co 0.5794 0.0828 0.5794
10 Co 0.5794 0.5794 0.0828
11 Co 0.6674 0.6674 0.6674
12 Co 0.9172 0.4206 0.4206

## Properties
The calculation puts the formation energy at -0.15 eV per atom. As for the symmetry: R-3m (166).

Entry 18:
The following is a DFT calculation (PBE) of a relaxed CePm2Co crystal.

abc: 3.4670 3.4670 8.8639
angles: 90.00 90.00 90.00
Fractional coordinates of all 4 atoms:
1 Ce 0.0000 0.0000 0.0000
2 Pm 0.5000 0.5000 0.3106
3 Pm 0.5000 0.5000 0.6894
4 Co 0.0000 0.0000 0.5000

## Properties
The energy above the most stable polymorph in this dataset comes out at 209 meV/atom. The calculation puts the formation energy at 0.08 eV per atom. As for the symmetry: P4/mmm (123).

Entry 19:
The following is a DFT calculation (PBE) of a relaxed CePm12Co7 crystal.

abc: 8.7042 8.7042 8.7042
angles: 107.24 107.24 107.24
Fractional coordinates of all 20 atoms:
1 Ce 0.0000 0.0000 0.0000
2 Pm 0.0753 0.6848 0.2228
3 Pm 0.1567 0.3768 0.4567
4 Pm 0.2228 0.0753 0.6848
5 Pm 0.3152 0.7772 0.9247
6 Pm 0.3768 0.4567 0.1567
7 Pm 0.4567 0.1567 0.3768
8 Pm 0.5433 0.8433 0.6232
9 Pm 0.6232 0.5433 0.8433
10 Pm 0.6848 0.2228 0.0753
11 Pm 0.7772 0.9247 0.3152
12 Pm 0.8433 0.6232 0.5433
13 Pm 0.9247 0.3152 0.7772
14 Co 0.0272 0.3403 0.1143
15 Co 0.1143 0.0272 0.3403
16 Co 0.3403 0.1143 0.0272
17 Co 0.5000 0.5000 0.5000
18 Co 0.6597 0.8857 0.9728
19 Co 0.8857 0.9728 0.6597
20 Co 0.9728 0.6597 0.8857

## Properties
The calculation puts the formation energy at -0.03 eV per atom. As for the symmetry: R-3 (148).

Entry 20:
The following is a DFT calculation (PBE) of a relaxed CePmCo10 crystal.

abc: 3.9848 4.9148 8.5759
angles: 90.00 90.00 90.00
Fractional coordinates of all 12 atoms:
1 Ce 0.0000 0.0000 0.0000
2 Pm 0.0000 0.5000 0.5000
3 Co 0.0000 0.0000 0.3116
4 Co 0.0000 0.0000 0.6884
5 Co 0.0000 0.5000 0.1605
6 Co 0.0000 0.5000 0.8395
7 Co 0.5000 0.0000 0.5000
8 Co 0.5000 0.2550 0.2528
9 Co 0.5000 0.2550 0.7472
10 Co 0.5000 0.5000 0.0000
11 Co 0.5000 0.7450 0.2528
12 Co 0.5000 0.7450 0.7472

## Properties
The calculation puts the formation energy at -0.09 eV per atom. As for the symmetry: Pmmm (47).

Entry 21:
The following is a DFT calculation (PBE) of a relaxed Ce3PmCo crystal.

abc: 7.9561 7.4836 9.0772
angles: 90.00 107.80 90.00
Fractional coordinates of all 20 atoms:
1 Ce 0.0629 0.1367 0.3985
2 Ce 0.0629 0.3633 0.8985
3 Ce 0.2200 0.5286 0.6512
4 Ce 0.2200 0.9714 0.1512
5 Ce 0.3844 0.6381 0.9522
6 Ce 0.3844 0.8619 0.4522
7 Ce 0.6156 0.1381 0.5478
8 Ce 0.6156 0.3619 0.0478
9 Ce 0.7800 0.0286 0.8488
10 Ce 0.7800 0.4714 0.3488
11 Ce 0.9371 0.6367 0.1015
12 Ce 0.9371 0.8633 0.6015
13 Pm 0.3261 0.0676 0.7833
14 Pm 0.3261 0.4324 0.2833
15 Pm 0.6739 0.5676 0.7167
16 Pm 0.6739 0.9324 0.2167
17 Co 0.0484 0.7014 0.3616
18 Co 0.0484 0.7986 0.8616
19 Co 0.9516 0.2014 0.1384
20 Co 0.9516 0.2986 0.6384

## Properties
The energy above the most stable polymorph in this dataset comes out at 0 meV/atom. The calculation puts the formation energy at -0.02 eV per atom. As for the symmetry: P2_1/c (14).

Entry 22:
The following is a DFT calculation (PBE) of a relaxed Ce3PmCo2 crystal.

abc: 8.9589 8.9589 7.8269
angles: 114.66 114.66 29.09
Fractional coordinates of all 12 atoms:
1 Ce 0.0266 0.0266 0.2786
2 Ce 0.2998 0.2998 0.5848
3 Ce 0.4014 0.4014 0.3581
4 Ce 0.5986 0.5986 0.6419
5 Ce 0.7002 0.7002 0.4152
6 Ce 0.9734 0.9734 0.7214
7 Pm 0.1776 0.1776 0.0518
8 Pm 0.8224 0.8224 0.9482
9 Co 0.1709 0.1709 0.6793
10 Co 0.4837 0.4837 0.8322
11 Co 0.5163 0.5163 0.1678
12 Co 0.8291 0.8291 0.3207

## Properties
The energy above the most stable polymorph in this dataset comes out at 39 meV/atom. The calculation puts the formation energy at -0.08 eV per atom. As for the symmetry: C2/m (12).

Entry 23:
The following is a DFT calculation (PBE) of a relaxed Ce3PmCo crystal.

abc: 5.2485 5.2485 5.2485
angles: 90.00 90.00 90.00
Fractional coordinates of all 5 atoms:
1 Ce 0.0000 0.0000 0.5000
2 Ce 0.0000 0.5000 0.0000
3 Ce 0.5000 0.0000 0.0000
4 Pm 0.5000 0.5000 0.5000
5 Co 0.0000 0.0000 0.0000

## Properties
The energy above the most stable polymorph in this dataset comes out at 90 meV/atom. The calculation puts the formation energy at 0.07 eV per atom. As for the symmetry: Pm-3m (221).

Entry 24:
The following is a DFT calculation (PBE) of a relaxed Ce2PmCo crystal.

abc: 3.5878 9.5492 6.0577
angles: 90.00 107.14 90.00
Fractional coordinates of all 8 atoms:
1 Ce 0.1404 0.0639 0.2814
2 Ce 0.1404 0.4361 0.2814
3 Ce 0.8596 0.5639 0.7186
4 Ce 0.8596 0.9361 0.7186
5 Pm 0.4151 0.2500 0.8298
6 Pm 0.5849 0.7500 0.1702
7 Co 0.3057 0.7500 0.6120
8 Co 0.6943 0.2500 0.3880

## Properties
The energy above the most stable polymorph in this dataset comes out at 2 meV/atom. The calculation puts the formation energy at -0.11 eV per atom. As for the symmetry: P2_1/m (11).

Entry 25:
The following is a DFT calculation (PBE) of a relaxed Ce2Pm3Co2 crystal.

abc: 6.2646 6.2646 8.9375
angles: 109.98 109.98 33.65
Fractional coordinates of all 7 atoms:
1 Ce 0.1835 0.1835 0.3213
2 Ce 0.8165 0.8165 0.6787
3 Pm 0.3848 0.3848 0.0804
4 Pm 0.5000 0.5000 0.5000
5 Pm 0.6152 0.6152 0.9196
6 Co 0.1947 0.1947 0.7322
7 Co 0.8053 0.8053 0.2678

## Properties
The calculation puts the formation energy at -0.11 eV per atom. As for the symmetry: C2/m (12).